*1*
# Ta5Fe3

An optimized crystal structure of Ta5Fe3 (GGA-PBE, Alexandria via LeMat-Bulk).

Cell: 7.404 7.404 7.400 Å, 96.76 96.76 139.74°
Fractional positions:
Ta 0.076 0.715 0.792
Ta 0.215 0.424 0.639
Ta 0.250 0.250 0.001
Ta 0.285 0.924 0.208
Ta 0.424 0.215 0.639
Ta 0.576 0.785 0.361
Ta 0.715 0.076 0.792
Ta 0.750 0.750 0.999
Ta 0.785 0.576 0.361
Ta 0.924 0.285 0.208
Fe 0.170 0.170 0.344
Fe 0.250 0.750 0.500
Fe 0.328 0.672 0.000
Fe 0.672 0.328 0.000
Fe 0.750 0.250 0.500
Fe 0.830 0.830 0.656

Results
SG = C2/m
crystal system = monoclinic
calculated density = 14455 kg/m3
total magnetization = 0.00 μB per formula unit
volume = 15.397 Å³ per atom

=====

*2*
# Ta5Fe3

An optimized crystal structure of Ta5Fe3 (GGA-PBE, Alexandria via LeMat-Bulk).

Cell: 5.426 5.426 4.416 Å, 90.00 90.00 109.32°
Fractional positions:
Ta 0.000 0.000 0.000
Ta 0.000 0.500 0.000
Ta 0.260 0.260 0.500
Ta 0.500 0.000 0.000
Ta 0.740 0.740 0.500
Fe 0.251 0.749 0.500
Fe 0.500 0.500 0.000
Fe 0.749 0.251 0.500

Results
SG = Cmmm
crystal system = orthorhombic
calculated density = 14516 kg/m3
total magnetization = 1.82 μB per formula unit
volume = 15.333 Å³ per atom

=====

*3*
# Ta5Fe3

An optimized crystal structure of Ta5Fe3 (GGA-PBE, Alexandria via LeMat-Bulk).

Cell: 7.452 7.452 5.142 Å, 90.00 90.00 120.00°
Fractional positions:
Ta 0.000 0.243 0.250
Ta 0.000 0.757 0.750
Ta 0.243 0.000 0.250
Ta 0.243 0.243 0.750
Ta 0.333 0.667 0.000
Ta 0.333 0.667 0.500
Ta 0.667 0.333 0.000
Ta 0.667 0.333 0.500
Ta 0.757 0.000 0.750
Ta 0.757 0.757 0.250
Fe 0.000 0.401 0.750
Fe 0.000 0.599 0.250
Fe 0.401 0.000 0.750
Fe 0.401 0.401 0.250
Fe 0.599 0.000 0.250
Fe 0.599 0.599 0.750

Results
SG = P6_3/mcm
crystal system = hexagonal
calculated density = 14400 kg/m3
total magnetization = 0.00 μB per formula unit
volume = 15.457 Å³ per atom

=====

Relative energies, unit meV/atom: *1* 6; *2* 28; *3* 0

=====

*1*
# Ta5Fe

An optimized crystal structure of Ta5Fe (GGA-PBE, Alexandria via LeMat-Bulk).

Cell: 5.396 5.396 5.396 Å, 60.00 60.00 60.00°
Fractional positions:
Ta 0.000 0.000 0.000
Ta 0.122 0.626 0.626
Ta 0.626 0.122 0.626
Ta 0.626 0.626 0.122
Ta 0.626 0.626 0.626
Fe 0.250 0.250 0.250

Results
SG = F-43m
crystal system = cubic
calculated density = 14360 kg/m3
total magnetization = 1.97 μB per formula unit
volume = 18.513 Å³ per atom

=====

*2*
# Ta5Fe

An optimized crystal structure of Ta5Fe (GGA-PBE, Alexandria via LeMat-Bulk).

Cell: 3.216 3.216 9.871 Å, 90.00 90.00 90.00°
Fractional positions:
Ta 0.000 0.000 0.000
Ta 0.000 0.000 0.349
Ta 0.000 0.000 0.651
Ta 0.500 0.500 0.173
Ta 0.500 0.500 0.827
Fe 0.500 0.500 0.500

Results
SG = P4/mmm
crystal system = tetragonal
calculated density = 15628 kg/m3
total magnetization = 0.38 μB per formula unit
volume = 17.011 Å³ per atom

=====

Relative energies, unit meV/atom: *1* 480; *2* 0

=====

*1*
# Ta5Fe

An optimized crystal structure of Ta5Fe (GGA-PBE, Alexandria via LeMat-Bulk).

Cell: 6.971 6.971 4.639 Å, 90.00 90.00 153.21°
Fractional positions:
Ta 0.000 0.000 0.000
Ta 0.158 0.842 0.500
Ta 0.334 0.666 0.000
Ta 0.666 0.334 0.000
Ta 0.842 0.158 0.500
Fe 0.500 0.500 0.500

Results
SG = Cmmm
crystal system = orthorhombic
calculated density = 15700 kg/m3
total magnetization = 0.12 μB per formula unit
volume = 16.933 Å³ per atom

=====

*2*
# Ta5Fe

An optimized crystal structure of Ta5Fe (GGA-PBE, Alexandria via LeMat-Bulk).

Cell: 5.538 5.538 4.547 Å, 90.00 90.00 120.00°
Fractional positions:
Ta 0.000 0.500 0.000
Ta 0.333 0.667 0.500
Ta 0.500 0.000 0.000
Ta 0.500 0.500 0.000
Ta 0.667 0.333 0.500
Fe 0.000 0.000 0.500

Results
SG = P6/mmm
crystal system = hexagonal
calculated density = 13210 kg/m3
total magnetization = 2.45 μB per formula unit
volume = 20.125 Å³ per atom

=====

*3*
# Ta5Fe

An optimized crystal structure of Ta5Fe (GGA-PBE, Alexandria via LeMat-Bulk).

Cell: 5.379 5.379 6.434 Å, 107.85 107.85 35.25°
Fractional positions:
Ta 0.000 0.000 0.000
Ta 0.337 0.337 0.177
Ta 0.340 0.340 0.661
Ta 0.660 0.660 0.339
Ta 0.663 0.663 0.823
Fe 0.000 0.000 0.500

Results
SG = C2/m
crystal system = monoclinic
calculated density = 15683 kg/m3
total magnetization = 0.13 μB per formula unit
volume = 16.952 Å³ per atom

=====

Relative energies, unit meV/atom: *1* 14; *2* 882; *3* 0

=====

*1*
# Ta7Fe6

An optimized crystal structure of Ta7Fe6 (GGA-PBE, Alexandria via LeMat-Bulk).

Cell: 9.468 9.468 9.468 Å, 30.26 30.26 30.26°
Fractional positions:
Ta 0.000 0.000 0.000
Ta 0.167 0.167 0.167
Ta 0.348 0.348 0.348
Ta 0.451 0.451 0.451
Ta 0.549 0.549 0.549
Ta 0.652 0.652 0.652
Ta 0.833 0.833 0.833
Fe 0.093 0.093 0.581
Fe 0.093 0.581 0.093
Fe 0.419 0.907 0.907
Fe 0.581 0.093 0.093
Fe 0.907 0.419 0.907
Fe 0.907 0.907 0.419

Results
SG = R-3m
crystal system = trigonal
calculated density = 13928 kg/m3
total magnetization = 7.00 μB per formula unit
volume = 14.689 Å³ per atom

=====

*2*
# Ta7Fe6

An optimized crystal structure of Ta7Fe6 (GGA-PBE, Alexandria via LeMat-Bulk).

Cell: 9.284 9.284 9.284 Å, 33.50 33.50 33.50°
Fractional positions:
Ta 0.000 0.000 0.000
Ta 0.086 0.086 0.581
Ta 0.086 0.581 0.086
Ta 0.419 0.914 0.915
Ta 0.581 0.086 0.086
Ta 0.914 0.419 0.914
Ta 0.914 0.914 0.419
Fe 0.168 0.168 0.168
Fe 0.353 0.353 0.353
Fe 0.456 0.456 0.456
Fe 0.544 0.544 0.544
Fe 0.647 0.647 0.647
Fe 0.832 0.832 0.832

Results
SG = R-3m
crystal system = trigonal
calculated density = 12250 kg/m3
total magnetization = 12.92 μB per formula unit
volume = 16.701 Å³ per atom

=====

Relative energies, unit meV/atom: *1* 0; *2* 744

=====

*1*
# TaFeTc3

An optimized crystal structure of TaFeTc3 (GGA-PBE, Alexandria via LeMat-Bulk).

Cell: 4.373 4.373 4.373 Å, 90.00 90.00 90.00°
Fractional positions:
Ta 0.000 0.000 0.000
Fe 0.500 0.500 0.500
Tc 0.000 0.500 0.500
Tc 0.500 0.000 0.500
Tc 0.500 0.500 0.000

Results
SG = Pm-3m
crystal system = cubic
calculated density = 10541 kg/m3
total magnetization = 0.00 μB per formula unit
volume = 16.723 Å³ per atom

=====

*2*
# TaFeTc3

An optimized crystal structure of TaFeTc3 (GGA-PBE, Alexandria via LeMat-Bulk).

Cell: 4.660 4.660 4.660 Å, 90.00 90.00 90.00°
Fractional positions:
Ta 0.000 0.000 0.000
Fe 0.500 0.500 0.500
Tc 0.000 0.000 0.500
Tc 0.000 0.500 0.000
Tc 0.500 0.000 0.000

Results
SG = Pm-3m
crystal system = cubic
calculated density = 8712 kg/m3
total magnetization = 0.13 μB per formula unit
volume = 20.234 Å³ per atom

=====

Relative energies, unit meV/atom: *1* 0; *2* 1184

=====

*1*
# TaFeTc

An optimized crystal structure of TaFeTc (GGA-PBE, Alexandria via LeMat-Bulk).

Cell: 6.052 6.052 6.052 Å, 153.72 153.72 37.51°
Fractional positions:
Ta 0.000 0.000 0.000
Fe 0.668 0.668 0.000
Tc 0.305 0.305 0.000

Results
SG = I4mm
crystal system = tetragonal
calculated density = 12815 kg/m3
total magnetization = 0.52 μB per formula unit
volume = 14.460 Å³ per atom

=====

*2*
# TaFeTc

An optimized crystal structure of TaFeTc (GGA-PBE, Alexandria via LeMat-Bulk).

Cell: 5.037 5.037 5.037 Å, 143.55 143.55 52.51°
Fractional positions:
Ta 0.000 0.000 0.000
Fe 0.330 0.330 0.000
Tc 0.668 0.668 0.000

Results
SG = I4mm
crystal system = tetragonal
calculated density = 12394 kg/m3
total magnetization = 2.50 μB per formula unit
volume = 14.952 Å³ per atom

=====

Relative energies, unit meV/atom: *1* 95; *2* 0

=====

*1*
# TaTi3Fe

An optimized crystal structure of TaTi3Fe (GGA-PBE, Alexandria via LeMat-Bulk).

Cell: 4.715 4.715 4.715 Å, 90.00 90.00 90.00°
Fractional positions:
Ta 0.000 0.000 0.000
Ti 0.000 0.000 0.500
Ti 0.000 0.500 0.000
Ti 0.500 0.000 0.000
Fe 0.500 0.500 0.500

Results
SG = Pm-3m
crystal system = cubic
calculated density = 6026 kg/m3
total magnetization = 0.10 μB per formula unit
volume = 20.965 Å³ per atom

=====

*2*
# TaTi3Fe

An optimized crystal structure of TaTi3Fe (GGA-PBE, Alexandria via LeMat-Bulk).

Cell: 8.729 8.729 8.729 Å, 147.52 147.52 46.60°
Fractional positions:
Ta 0.211 0.211 0.000
Ta 0.789 0.789 0.000
Ti 0.369 0.622 0.746
Ti 0.378 0.124 0.746
Ti 0.378 0.631 0.254
Ti 0.562 0.062 0.500
Ti 0.876 0.622 0.254
Ti 0.938 0.438 0.500
Fe 0.250 0.750 0.500
Fe 0.500 0.500 0.000

Results
SG = I-4m2
crystal system = tetragonal
calculated density = 6608 kg/m3
total magnetization = 0.00 μB per formula unit
volume = 19.117 Å³ per atom

=====

Relative energies, unit meV/atom: *1* 842; *2* 0

=====

*1*
# TaTi3Fe

An optimized crystal structure of TaTi3Fe (GGA-PBE, Alexandria via LeMat-Bulk).

Cell: 4.443 4.443 4.443 Å, 90.00 90.00 90.00°
Fractional positions:
Ta 0.000 0.000 0.000
Ti 0.000 0.500 0.500
Ti 0.500 0.000 0.500
Ti 0.500 0.500 0.000
Fe 0.500 0.500 0.500

Results
SG = Pm-3m
crystal system = cubic
calculated density = 7203 kg/m3
total magnetization = 0.00 μB per formula unit
volume = 17.538 Å³ per atom

=====

*2*
# TaTi3Fe

An optimized crystal structure of TaTi3Fe (GGA-PBE, Alexandria via LeMat-Bulk).

Cell: 8.015 8.015 6.777 Å, 102.34 102.34 21.65°
Fractional positions:
Ta 0.099 0.099 0.047
Ta 0.901 0.901 0.953
Ti 0.300 0.300 0.173
Ti 0.313 0.313 0.620
Ti 0.498 0.498 0.284
Ti 0.502 0.502 0.716
Ti 0.687 0.687 0.380
Ti 0.700 0.700 0.827
Fe 0.099 0.099 0.556
Fe 0.901 0.901 0.444

Results
SG = C2/m
crystal system = monoclinic
calculated density = 8060 kg/m3
total magnetization = 0.00 μB per formula unit
volume = 15.674 Å³ per atom

=====

Relative energies, unit meV/atom: *1* 534; *2* 0